Cd3Fe: optimized geometry, PBE.

Structure (POSCAR):
```
Cd3Fe
1.0
-0.6384 -2.9129 -0.1021
3.7155 -0.7820 -0.9226
0.7931 -3.5598 6.2112
Cd Fe
3 1
Direct
0.0243 0.0000 0.9738 Cd
0.4757 0.0000 0.5262 Cd
0.2500 0.5000 0.2500 Cd
0.7500 0.5000 0.7500 Fe
```

=====

Cd5Fe4: optimized geometry, PBE.

Structure (POSCAR):
```
Cd5Fe4
1.0
6.0463 0.7821 3.3159
-5.8183 -3.5427 -1.3273
3.0266 -1.9239 -5.9417
Cd Fe
5 4
Direct
0.3312 0.3312 0.6623 Cd
0.6688 0.3312 0.0000 Cd
0.3312 0.6688 0.0000 Cd
0.6688 0.6688 0.3377 Cd
0.0000 0.0000 0.0000 Cd
0.3624 0.0000 0.3624 Fe
0.0000 0.6376 0.6376 Fe
0.0000 0.3624 0.3624 Fe
0.6376 0.0000 0.6376 Fe
```

=====

Computed values of DFT total energy (unit: eV per cell) for the preceding records, in sequence: -10.10, -36.12.
Computed values of E_form (unit: eV per atom) for the preceding records, in sequence: 0.28, 0.26.